*w*
# LiThAu (GGA-PBE, relaxed)
# M_tot ... 0.002 μB per atom
# Density of states at the Fermi level ... 2.2 states/eV per cell
data_LiThAu
_chemical_formula_sum 'Li1 Th1 Au1'
_symmetry_space_group_name_H-M 'P -6 m 2'
_symmetry_Int_Tables_number 187
_symmetry_space_group_name_Hall 'P -6 2'
_cell_length_a 4.6924
_cell_length_b 4.6924
_cell_length_c 3.4839
_cell_angle_alpha 90.00
_cell_angle_beta 90.00
_cell_angle_gamma 120.00
loop_
_atom_site_label
_atom_site_fract_x
_atom_site_fract_y
_atom_site_fract_z
_atom_site_occupancy
Li1 0.0000 0.0000 0.0000 1
Th1 0.6667 0.3333 0.5000 1
Au1 0.3333 0.6667 0.0000 1


*x*
# LiThAu (GGA-PBE, relaxed)
# M_tot ... 0.001 μB per atom
# Density of states at the Fermi level ... 21.5 states/eV per cell
data_LiThAu
_chemical_formula_sum 'Li4 Th4 Au4'
_symmetry_space_group_name_H-M 'F -4 3 m'
_symmetry_Int_Tables_number 216
_symmetry_space_group_name_Hall 'F -4 2 3'
_cell_length_a 6.838
_cell_length_b 6.838
_cell_length_c 6.838
_cell_angle_alpha 90.00
_cell_angle_beta 90.00
_cell_angle_gamma 90.00
loop_
_atom_site_label
_atom_site_fract_x
_atom_site_fract_y
_atom_site_fract_z
_atom_site_occupancy
Li1 0.000 0.000 0.000 1
Th1 0.000 0.000 0.500 1
Au1 0.250 0.250 0.250 1


Most stable: *w* (next structure +0.162 eV/atom)


*w*
# LiThAu (GGA-PBE, relaxed)
# M_tot ... 0.000 μB per atom
# Density of states at the Fermi level ... 3.3 states/eV per cell
data_LiThAu
_chemical_formula_sum 'Li2 Th2 Au2'
_symmetry_space_group_name_H-M 'I 4 m m'
_symmetry_Int_Tables_number 107
_symmetry_space_group_name_Hall 'I 4 -2'
_cell_length_a 3.558
_cell_length_b 3.558
_cell_length_c 10.450
_cell_angle_alpha 90.00
_cell_angle_beta 90.00
_cell_angle_gamma 90.00
loop_
_atom_site_label
_atom_site_fract_x
_atom_site_fract_y
_atom_site_fract_z
_atom_site_occupancy
Li1 0.000 0.000 0.000 1
Th1 0.000 0.000 0.294 1
Au1 0.000 0.000 0.605 1


*x*
# LiThAu (GGA-PBE, relaxed)
# M_tot ... 0.000 μB per atom
# Density of states at the Fermi level ... 7.5 states/eV per cell
data_LiThAu
_chemical_formula_sum 'Li4 Th4 Au4'
_symmetry_space_group_name_H-M 'C m c m'
_symmetry_Int_Tables_number 63
_symmetry_space_group_name_Hall '-C 2c 2'
_cell_length_a 4.073
_cell_length_b 17.899
_cell_length_c 3.979
_cell_angle_alpha 90.00
_cell_angle_beta 90.00
_cell_angle_gamma 90.00
loop_
_atom_site_label
_atom_site_fract_x
_atom_site_fract_y
_atom_site_fract_z
_atom_site_occupancy
Li1 0.000 0.249 0.250 1
Th1 0.000 0.082 0.750 1
Au1 0.000 0.359 0.750 1


Most stable: *x* (next structure +0.026 eV/atom)


*w*
# LiThAu2 (GGA-PBE, relaxed)
# M_tot ... 0.000 μB per atom
# Density of states at the Fermi level ... 2.9 states/eV per cell
data_LiThAu2
_chemical_formula_sum 'Li1 Th1 Au2'
_symmetry_space_group_name_H-M 'P 4/m m m'
_symmetry_Int_Tables_number 123
_symmetry_space_group_name_Hall '-P 4 2'
_cell_length_a 5.043
_cell_length_b 5.043
_cell_length_c 3.548
_cell_angle_alpha 90.00
_cell_angle_beta 90.00
_cell_angle_gamma 90.00
loop_
_atom_site_label
_atom_site_fract_x
_atom_site_fract_y
_atom_site_fract_z
_atom_site_occupancy
Li1 0.000 0.000 0.000 1
Th1 0.500 0.500 0.000 1
Au1 0.000 0.500 0.500 1


*x*
# LiThAu2 (GGA-PBE, relaxed)
# M_tot ... 0.000 μB per atom
# Density of states at the Fermi level ... 2.3 states/eV per cell
data_LiThAu2
_chemical_formula_sum 'Li1 Th1 Au2'
_symmetry_space_group_name_H-M 'P 4/m m m'
_symmetry_Int_Tables_number 123
_symmetry_space_group_name_Hall '-P 4 2'
_cell_length_a 3.417
_cell_length_b 3.417
_cell_length_c 7.066
_cell_angle_alpha 90.00
_cell_angle_beta 90.00
_cell_angle_gamma 90.00
loop_
_atom_site_label
_atom_site_fract_x
_atom_site_fract_y
_atom_site_fract_z
_atom_site_occupancy
Li1 0.000 0.000 0.000 1
Th1 0.000 0.000 0.500 1
Au1 0.500 0.500 0.203 1


*y*
# LiThAu2 (GGA-PBE, relaxed)
# M_tot ... 0.000 μB per atom
# Density of states at the Fermi level ... 9.3 states/eV per cell
data_LiThAu2
_chemical_formula_sum 'Li3 Th3 Au6'
_symmetry_space_group_name_H-M 'R -3 m'
_symmetry_Int_Tables_number 166
_symmetry_space_group_name_Hall '-R 3 2"'
_cell_length_a 4.6198
_cell_length_b 4.6198
_cell_length_c 14.1245
_cell_angle_alpha 90.00
_cell_angle_beta 90.00
_cell_angle_gamma 120.00
loop_
_atom_site_label
_atom_site_fract_x
_atom_site_fract_y
_atom_site_fract_z
_atom_site_occupancy
Li1 0.0000 0.0000 0.0000 1
Th1 0.0000 0.0000 0.5000 1
Au1 0.0000 0.0000 0.2789 1


Most stable: *y* (next structure +0.085 eV/atom)


*w*
# Li2TiAu (GGA-PBE, relaxed)
# M_tot ... 0.504 μB per atom
# Density of states at the Fermi level ... 12.5 states/eV per cell
data_Li2TiAu
_chemical_formula_sum 'Li8 Ti4 Au4'
_symmetry_space_group_name_H-M 'I -4 2 d'
_symmetry_Int_Tables_number 122
_symmetry_space_group_name_Hall 'I -4 2bw'
_cell_length_a 7.317
_cell_length_b 7.317
_cell_length_c 5.344
_cell_angle_alpha 90.00
_cell_angle_beta 90.00
_cell_angle_gamma 90.00
loop_
_atom_site_label
_atom_site_fract_x
_atom_site_fract_y
_atom_site_fract_z
_atom_site_occupancy
Li1 0.219 0.750 0.125 1
Ti1 0.000 0.000 0.500 1
Au1 0.000 0.000 0.000 1


*x*
# Li2TiAu (GGA-PBE, relaxed)
# M_tot ... 0.000 μB per atom
# Density of states at the Fermi level ... 12.8 states/eV per cell
data_Li2TiAu
_chemical_formula_sum 'Li8 Ti4 Au4'
_symmetry_space_group_name_H-M 'I m m m'
_symmetry_Int_Tables_number 71
_symmetry_space_group_name_Hall '-I 2 2'
_cell_length_a 3.532
_cell_length_b 4.115
_cell_length_c 17.369
_cell_angle_alpha 90.00
_cell_angle_beta 90.00
_cell_angle_gamma 90.00
loop_
_atom_site_label
_atom_site_fract_x
_atom_site_fract_y
_atom_site_fract_z
_atom_site_occupancy
Li1 0.000 0.000 0.000 1
Li2 0.000 0.000 0.500 1
Li3 0.000 0.500 0.120 1
Ti1 0.000 0.000 0.245 1
Au1 0.000 0.500 0.378 1


*y*
# Li2TiAu (GGA-PBE, relaxed)
# M_tot ... 0.228 μB per atom
# Density of states at the Fermi level ... 5.6 states/eV per cell
data_Li2TiAu
_chemical_formula_sum 'Li4 Ti2 Au2'
_symmetry_space_group_name_H-M 'P -1'
_symmetry_Int_Tables_number 2
_cell_length_a 5.132
_cell_length_b 5.190
_cell_length_c 5.276
_cell_angle_alpha 94.58
_cell_angle_beta 97.52
_cell_angle_gamma 113.69
loop_
_symmetry_equiv_pos_as_xyz
'x,y,z'
'-x,-y,-z'
loop_
_atom_site_label
_atom_site_fract_x
_atom_site_fract_y
_atom_site_fract_z
_atom_site_occupancy
Li1 0.088 0.380 0.145 1
Li2 0.302 0.561 0.611 1
Ti1 0.376 0.137 0.867 1
Au1 0.194 0.954 0.337 1


Most stable: *x* (next structure +0.078 eV/atom)


*w*
# Li2TiAu (GGA-PBE, relaxed)
# M_tot ... 0.000 μB per atom
# Density of states at the Fermi level ... 5.1 states/eV per cell
data_Li2TiAu
_chemical_formula_sum 'Li4 Ti2 Au2'
_symmetry_space_group_name_H-M 'P 1'
_symmetry_Int_Tables_number 1
_cell_length_a 2.804
_cell_length_b 5.693
_cell_length_c 8.949
_cell_angle_alpha 72.85
_cell_angle_beta 86.42
_cell_angle_gamma 76.80
loop_
_symmetry_equiv_pos_as_xyz
'x,y,z'
loop_
_atom_site_label
_atom_site_fract_x
_atom_site_fract_y
_atom_site_fract_z
_atom_site_occupancy
Li1 0.000 0.000 0.000 1
Li2 0.063 0.734 0.551 1
Li3 0.217 0.197 0.506 1
Li4 0.606 0.332 0.754 1
Ti1 0.173 0.480 0.054 1
Ti2 0.553 0.650 0.264 1
Au1 0.575 0.817 0.799 1
Au2 0.810 0.092 0.271 1


*x*
# Li2TiAu (GGA-PBE, relaxed)
# M_tot ... 0.000 μB per atom
# Density of states at the Fermi level ... 5.5 states/eV per cell
data_Li2TiAu
_chemical_formula_sum 'Li4 Ti2 Au2'
_symmetry_space_group_name_H-M 'C 1 2/m 1'
_symmetry_Int_Tables_number 12
_cell_length_a 9.683
_cell_length_b 2.750
_cell_length_c 4.939
_cell_angle_alpha 90.00
_cell_angle_beta 98.55
_cell_angle_gamma 90.00
loop_
_symmetry_equiv_pos_as_xyz
'x,y,z'
'-x,-y,-z'
'-x,y,-z'
'x,-y,z'
'x+1/2,y+1/2,z'
'-x+1/2,-y+1/2,-z'
'-x+1/2,y+1/2,-z'
'x+1/2,-y+1/2,z'
loop_
_atom_site_label
_atom_site_fract_x
_atom_site_fract_y
_atom_site_fract_z
_atom_site_occupancy
Li1 0.240 0.000 0.233 1
Ti1 0.000 0.000 0.500 1
Au1 0.000 0.500 0.000 1


*y*
# Li2TiAu (GGA-PBE, relaxed)
# M_tot ... 0.000 μB per atom
# Density of states at the Fermi level ... 9.4 states/eV per cell
data_Li2TiAu
_chemical_formula_sum 'Li8 Ti4 Au4'
_symmetry_space_group_name_H-M 'C 1 2/m 1'
_symmetry_Int_Tables_number 12
_cell_length_a 10.036
_cell_length_b 2.969
_cell_length_c 9.868
_cell_angle_alpha 90.00
_cell_angle_beta 115.95
_cell_angle_gamma 90.00
loop_
_symmetry_equiv_pos_as_xyz
'x,y,z'
'-x,-y,-z'
'-x,y,-z'
'x,-y,z'
'x+1/2,y+1/2,z'
'-x+1/2,-y+1/2,-z'
'-x+1/2,y+1/2,-z'
'x+1/2,-y+1/2,z'
loop_
_atom_site_label
_atom_site_fract_x
_atom_site_fract_y
_atom_site_fract_z
_atom_site_occupancy
Li1 0.127 0.000 0.460 1
Li2 0.132 0.500 0.717 1
Ti1 0.131 0.000 0.986 1
Au1 0.121 0.500 0.227 1


*z*
# Li2TiAu (GGA-PBE, relaxed)
# M_tot ... 0.000 μB per atom
# Density of states at the Fermi level ... 19.4 states/eV per cell
data_Li2TiAu
_chemical_formula_sum 'Li8 Ti4 Au4'
_symmetry_space_group_name_H-M 'F m -3 m'
_symmetry_Int_Tables_number 225
_symmetry_space_group_name_Hall '-F 4 2 3'
_cell_length_a 6.158
_cell_length_b 6.158
_cell_length_c 6.158
_cell_angle_alpha 90.00
_cell_angle_beta 90.00
_cell_angle_gamma 90.00
loop_
_atom_site_label
_atom_site_fract_x
_atom_site_fract_y
_atom_site_fract_z
_atom_site_occupancy
Li1 0.250 0.250 0.250 1
Ti1 0.000 0.000 0.000 1
Au1 0.000 0.000 0.500 1


Most stable: *y* (next structure +0.042 eV/atom)


*w*
# Li2TiAu (GGA-PBE, relaxed)
# M_tot ... 0.000 μB per atom
# Density of states at the Fermi level ... 10.1 states/eV per cell
data_Li2TiAu
_chemical_formula_sum 'Li8 Ti4 Au4'
_symmetry_space_group_name_H-M 'C 1 m 1'
_symmetry_Int_Tables_number 8
_cell_length_a 9.837
_cell_length_b 3.166
_cell_length_c 9.130
_cell_angle_alpha 90.00
_cell_angle_beta 115.47
_cell_angle_gamma 90.00
loop_
_symmetry_equiv_pos_as_xyz
'x,y,z'
'x,-y,z'
'x+1/2,y+1/2,z'
'x+1/2,-y+1/2,z'
loop_
_atom_site_label
_atom_site_fract_x
_atom_site_fract_y
_atom_site_fract_z
_atom_site_occupancy
Li1 0.000 0.000 0.000 1
Li2 0.006 0.500 0.761 1
Li3 0.245 0.000 0.900 1
Li4 0.476 0.000 0.225 1
Ti1 0.006 0.000 0.492 1
Ti2 0.261 0.000 0.413 1
Au1 0.237 0.500 0.150 1
Au2 0.261 0.500 0.663 1


*x*
# Li2TiAu (GGA-PBE, relaxed)
# M_tot ... 0.000 μB per atom
# Density of states at the Fermi level ... 11.0 states/eV per cell
data_Li2TiAu
_chemical_formula_sum 'Li8 Ti4 Au4'
_symmetry_space_group_name_H-M 'C 1 2/m 1'
_symmetry_Int_Tables_number 12
_cell_length_a 9.198
_cell_length_b 3.338
_cell_length_c 8.919
_cell_angle_alpha 90.00
_cell_angle_beta 113.08
_cell_angle_gamma 90.00
loop_
_symmetry_equiv_pos_as_xyz
'x,y,z'
'-x,-y,-z'
'-x,y,-z'
'x,-y,z'
'x+1/2,y+1/2,z'
'-x+1/2,-y+1/2,-z'
'-x+1/2,y+1/2,-z'
'x+1/2,-y+1/2,z'
loop_
_atom_site_label
_atom_site_fract_x
_atom_site_fract_y
_atom_site_fract_z
_atom_site_occupancy
Li1 0.000 0.000 0.000 1
Li2 0.000 0.000 0.500 1
Li3 0.236 0.500 0.106 1
Ti1 0.232 0.000 0.369 1
Au1 0.020 0.500 0.750 1


Most stable: *w* (next structure +0.016 eV/atom)


*w*
# Li2TiAu (GGA-PBE, relaxed)
# M_tot ... 0.050 μB per atom
# Density of states at the Fermi level ... 3.2 states/eV per cell
data_Li2TiAu
_chemical_formula_sum 'Li2 Ti1 Au1'
_symmetry_space_group_name_H-M 'P m m 2'
_symmetry_Int_Tables_number 25
_cell_length_a 2.772
_cell_length_b 4.824
_cell_length_c 4.890
_cell_angle_alpha 90.00
_cell_angle_beta 90.00
_cell_angle_gamma 90.00
loop_
_symmetry_equiv_pos_as_xyz
'x,y,z'
'-x,-y,z'
'-x,y,z'
'x,-y,z'
loop_
_atom_site_label
_atom_site_fract_x
_atom_site_fract_y
_atom_site_fract_z
_atom_site_occupancy
Li1 0.000 0.000 0.000 1
Li2 0.500 0.000 0.479 1
Ti1 0.500 0.500 0.806 1
Au1 0.000 0.500 0.305 1


*x*
# Li2TiAu (GGA-PBE, relaxed)
# M_tot ... 0.000 μB per atom
# Density of states at the Fermi level ... 5.9 states/eV per cell
data_Li2TiAu
_chemical_formula_sum 'Li4 Ti2 Au2'
_symmetry_space_group_name_H-M 'P -1'
_symmetry_Int_Tables_number 2
_cell_length_a 2.762
_cell_length_b 7.003
_cell_length_c 7.005
_cell_angle_alpha 76.82
_cell_angle_beta 79.33
_cell_angle_gamma 79.21
loop_
_symmetry_equiv_pos_as_xyz
'x,y,z'
'-x,-y,-z'
loop_
_atom_site_label
_atom_site_fract_x
_atom_site_fract_y
_atom_site_fract_z
_atom_site_occupancy
Li1 0.003 0.277 0.224 1
Li2 0.219 0.641 0.141 1
Ti1 0.168 0.108 0.608 1
Au1 0.500 0.000 0.000 1
Au2 0.500 0.500 0.500 1


*y*
# Li2TiAu (GGA-PBE, relaxed)
# M_tot ... 0.000 μB per atom
# Density of states at the Fermi level ... 23.7 states/eV per cell
data_Li2TiAu
_chemical_formula_sum 'Li12 Ti6 Au6'
_symmetry_space_group_name_H-M 'R -3 m'
_symmetry_Int_Tables_number 166
_symmetry_space_group_name_Hall '-R 3 2"'
_cell_length_a 4.4796
_cell_length_b 4.4796
_cell_length_c 22.6017
_cell_angle_alpha 90.00
_cell_angle_beta 90.00
_cell_angle_gamma 120.00
loop_
_atom_site_label
_atom_site_fract_x
_atom_site_fract_y
_atom_site_fract_z
_atom_site_occupancy
Li1 0.0000 0.0000 0.0000 1
Li2 0.0000 0.0000 0.1289 1
Li3 0.0000 0.0000 0.5000 1
Ti1 0.0000 0.0000 0.3780 1
Au1 0.0000 0.0000 0.2604 1


Most stable: *y* (next structure +0.012 eV/atom)


*w*
# Li2TiAu (GGA-PBE, relaxed)
# M_tot ... 0.000 μB per atom
# Density of states at the Fermi level ... 5.9 states/eV per cell
data_Li2TiAu
_chemical_formula_sum 'Li4 Ti2 Au2'
_symmetry_space_group_name_H-M 'P 1 m 1'
_symmetry_Int_Tables_number 6
_cell_length_a 4.707
_cell_length_b 3.054
_cell_length_c 9.234
_cell_angle_alpha 90.00
_cell_angle_beta 98.56
_cell_angle_gamma 90.00
loop_
_symmetry_equiv_pos_as_xyz
'x,y,z'
'x,-y,z'
loop_
_atom_site_label
_atom_site_fract_x
_atom_site_fract_y
_atom_site_fract_z
_atom_site_occupancy
Li1 0.000 0.000 0.000 1
Li2 0.023 0.500 0.264 1
Li3 0.065 0.500 0.738 1
Li4 0.540 0.000 0.750 1
Ti1 0.519 0.000 0.239 1
Ti2 0.589 0.500 0.481 1
Au1 0.094 0.000 0.497 1
Au2 0.508 0.500 0.988 1


*x*
# Li2TiAu (GGA-PBE, relaxed)
# M_tot ... 0.000 μB per atom
# Density of states at the Fermi level ... 9.8 states/eV per cell
data_Li2TiAu
_chemical_formula_sum 'Li8 Ti4 Au4'
_symmetry_space_group_name_H-M 'C 1 2/m 1'
_symmetry_Int_Tables_number 12
_cell_length_a 19.543
_cell_length_b 2.932
_cell_length_c 4.589
_cell_angle_alpha 90.00
_cell_angle_beta 95.74
_cell_angle_gamma 90.00
loop_
_symmetry_equiv_pos_as_xyz
'x,y,z'
'-x,-y,-z'
'-x,y,-z'
'x,-y,z'
'x+1/2,y+1/2,z'
'-x+1/2,-y+1/2,-z'
'-x+1/2,y+1/2,-z'
'x+1/2,-y+1/2,z'
loop_
_atom_site_label
_atom_site_fract_x
_atom_site_fract_y
_atom_site_fract_z
_atom_site_occupancy
Li1 0.000 0.000 0.000 1
Li2 0.000 0.500 0.500 1
Li3 0.132 0.000 0.694 1
Ti1 0.232 0.000 0.239 1
Au1 0.111 0.500 0.184 1


Most stable: *x* (next structure +0.036 eV/atom)